Entry 1:
## TaAlCu2 (PBE)

Data for crystalline TaAlCu2 at its relaxed geometry.

Values from the calculation:
E_tot (eV per atom): -5.952
D(E_F) (states/eV per cell): 2.6
E_form (eV/atom): -0.005

Cell lengths 4.1201, 2.7412, 5.2557 Å; angles 80.13, 90.00, 90.00 degrees
Last column: nearest neighbours and their distance in Å.
Positions (direct):
Ta 0.5000 0.2500 0.2500  8 Cu 2.72-2.88, 2 Ta 2.74, 2 Al 2.75
Cu 0.0000 0.6091 0.5021  2 Al 2.50, 3 Cu 2.63-2.74, 2 Ta 2.72
Cu 0.0000 0.8909 0.9979  2 Al 2.50, 3 Cu 2.63-2.74, 2 Ta 2.72
Al 0.5000 0.7500 0.7500  4 Cu 2.50, 2 Al 2.74, 2 Ta 2.75


Entry 2:
## TaAlCu2 (PBE)

Data for crystalline TaAlCu2 at its relaxed geometry.

Values from the calculation:
E_tot (eV per atom): -6.062
D(E_F) (states/eV per cell): 2.0
E_form (eV/atom): -0.115

Cell lengths 2.8607, 2.8604, 6.9081 Å; angles 90.00, 90.00, 90.00 degrees
Last column: nearest neighbours and their distance in Å.
Positions (direct):
Cu 0.0000 0.0000 0.9757  4 Al 2.55, 4 Ta 2.77
Cu 0.0000 0.0000 0.5243  4 Al 2.55, 4 Ta 2.77
Al 0.5000 0.5000 0.7500  8 Cu 2.55
Ta 0.5000 0.5000 0.2500  8 Cu 2.77, 4 Ta 2.86


Entry 3:
## TaAlCu2 (PBE)

Data for crystalline TaAlCu2 at its relaxed geometry.

Values from the calculation:
E_tot (eV per atom): -5.834
D(E_F) (states/eV per cell): 2.6
E_form (eV/atom): 0.113

Cell lengths 5.2785, 5.2785, 5.2785 Å; angles 149.20, 127.78, 61.86 degrees
Last column: nearest neighbours and their distance in Å.
Positions (direct):
Al 0.2500 0.7500 0.5000  4 Cu 2.57, 4 Ta 2.71, 2 Al 2.80
Ta 0.7500 0.2500 0.5000  4 Al 2.71, 4 Cu 2.76, 2 Ta 2.80
Cu 0.4875 0.4875 0.0000  2 Al 2.57, 6 Cu 2.72-2.80, 2 Ta 2.76
Cu 0.0125 0.0125 0.0000  2 Al 2.57, 6 Cu 2.72-2.80, 2 Ta 2.76


Entry 4:
## TaAl2Cu (PBE)

Data for crystalline TaAl2Cu at its relaxed geometry.

Values from the calculation:
E_tot (eV per atom): -5.875
D(E_F) (states/eV per cell): 4.7
E_form (eV/atom): -0.017

Cell lengths 5.0809, 5.0809, 5.0809 Å; angles 136.02, 136.02, 63.95 degrees
Last column: nearest neighbours and their distance in Å.
Positions (direct):
Al 0.0000 0.0000 0.0000  4 Al 2.69, 4 Ta 2.87, 4 Cu 2.87
Al 0.5000 0.5000 0.0000  4 Al 2.69, 4 Cu 2.87, 4 Ta 2.87
Ta 0.7500 0.2500 0.5000  4 Cu 2.69, 8 Al 2.87
Cu 0.2500 0.7500 0.5000  4 Ta 2.69, 8 Al 2.87


Entry 5:
## TaAlCu2 (PBE)

Data for crystalline TaAlCu2 at its relaxed geometry.

Values from the calculation:
E_tot (eV per atom): -5.872
D(E_F) (states/eV per cell): 3.7
E_form (eV/atom): 0.075

Cell lengths 8.9539, 8.9539, 8.9539 Å; angles 17.80, 17.80, 17.80 degrees
Last column: nearest neighbours and their distance in Å.
Positions (direct):
Al 0.7500 0.7500 0.7500  6 Cu 2.61, 6 Al 2.77
Ta 0.2500 0.2500 0.2500  6 Ta 2.77, 6 Cu 2.83
Cu 0.4948 0.4948 0.4948  3 Al 2.61, 6 Cu 2.77, 3 Ta 2.83
Cu 0.0052 0.0052 0.0052  3 Al 2.61, 6 Cu 2.77, 3 Ta 2.83


Entry 6:
## Ta3AlCu (PBE)

Data for crystalline Ta3AlCu at its relaxed geometry.

Values from the calculation:
E_tot (eV per atom): -7.642
D(E_F) (states/eV per cell): 8.2
E_form (eV/atom): 1.037

Cell lengths 4.6263, 4.6263, 4.6263 Å; angles 90.00, 90.00, 90.00 degrees
Last column: nearest neighbours and their distance in Å.
Positions (direct):
Cu 0.0000 0.0000 0.0000  6 Ta 2.31
Al 0.5000 0.5000 0.5000  12 Ta 3.27
Ta 0.0000 0.0000 0.5000  2 Cu 2.31
Ta 0.0000 0.5000 0.0000  2 Cu 2.31
Ta 0.5000 0.0000 0.0000  2 Cu 2.31


Entry 7:
## Ta12Al3Cu5 (PBE)

Data for crystalline Ta12Al3Cu5 at its relaxed geometry.

Values from the calculation:
E_tot (eV per atom): -7.740
D(E_F) (states/eV per cell): 66.0
E_form (eV/atom): 0.957

Cell lengths 12.8986, 12.8986, 12.8986 Å; angles 109.47, 109.47, 109.47 degrees
Last column: nearest neighbours and their distance in Å.
Positions (direct):
Cu 0.3750 0.2500 0.1250  4 Ta 2.49
Cu 0.0000 0.5000 0.0000  6 Ta 2.51
Cu 0.7500 0.6250 0.3750  4 Ta 2.49
Cu 0.1250 0.3750 0.2500  4 Ta 2.49
Cu 0.1250 0.7500 0.3750  4 Ta 2.49
Cu 0.6250 0.8750 0.2500  4 Ta 2.49
Cu 0.8750 0.6250 0.7500  4 Ta 2.49
Cu 0.7500 0.1250 0.8750  4 Ta 2.49
Cu 0.0000 0.5000 0.5000  6 Ta 2.51
Cu 0.5000 0.0000 0.5000  6 Ta 2.51
Cu 0.5000 0.5000 0.0000  6 Ta 2.51
Cu 0.2500 0.8750 0.1250  4 Ta 2.49
Cu 0.2500 0.3750 0.6250  4 Ta 2.49
Cu 0.5000 0.0000 0.0000  6 Ta 2.51
Cu 0.6250 0.7500 0.8750  4 Ta 2.49
Cu 0.5000 0.5000 0.5000  6 Ta 2.51
Cu 0.0000 0.0000 0.5000  6 Ta 2.51
Cu 0.8750 0.2500 0.6250  4 Ta 2.49
Cu 0.0000 0.0000 0.0000  6 Ta 2.51
Cu 0.3750 0.1250 0.7500  4 Ta 2.49
Ta 0.2752 0.4160 0.8373  2 Cu 2.49-2.51, 2 Al 2.67-2.72, 1 Ta 2.77
Ta 0.4160 0.1408 0.5787  2 Cu 2.49-2.51, 2 Al 2.67-2.72, 1 Ta 2.77
Ta 0.5787 0.6408 0.4160  2 Cu 2.49-2.51, 2 Al 2.67-2.72, 1 Ta 2.77
Ta 0.1627 0.0787 0.9379  2 Cu 2.49-2.51, 2 Al 2.67-2.72, 1 Ta 2.77
Ta 0.3373 0.5621 0.4213  2 Cu 2.49-2.51, 2 Al 2.67-2.72, 1 Ta 2.77
Ta 0.1408 0.7248 0.5621  2 Cu 2.49-2.51, 2 Al 2.67-2.72, 1 Ta 2.77
Ta 0.9379 0.3592 0.2752  2 Cu 2.49-2.51, 2 Al 2.67-2.72, 1 Ta 2.77
Ta 0.9160 0.0787 0.6408  2 Cu 2.49-2.51, 2 Al 2.67-2.72, 1 Ta 2.77
Ta 0.9213 0.8373 0.5621  2 Cu 2.49-2.51, 2 Al 2.67-2.72, 1 Ta 2.77
Ta 0.8592 0.2752 0.4379  2 Cu 2.49-2.51, 2 Al 2.67-2.72, 1 Ta 2.77
Ta 0.6627 0.2248 0.5840  2 Cu 2.49-2.51, 2 Al 2.67-2.72, 1 Ta 2.77
Ta 0.6408 0.5787 0.9160  2 Cu 2.49-2.51, 2 Al 2.67-2.72, 1 Ta 2.77
Ta 0.2248 0.5621 0.6408  2 Cu 2.49-2.51, 2 Al 2.67-2.72, 1 Ta 2.77
Ta 0.9160 0.8373 0.7752  2 Cu 2.49-2.51, 2 Al 2.67-2.72, 1 Ta 2.77
Ta 0.7248 0.1408 0.0621  2 Cu 2.49-2.51, 2 Al 2.67-2.72, 1 Ta 2.77
Ta 0.4213 0.0621 0.3373  2 Cu 2.49-2.51, 2 Al 2.67-2.72, 1 Ta 2.77
Ta 0.4379 0.7752 0.8592  2 Cu 2.49-2.51, 2 Al 2.67-2.72, 1 Ta 2.77
Ta 0.8373 0.9160 0.2752  2 Cu 2.49-2.51, 2 Al 2.67-2.72, 1 Ta 2.77
Ta 0.4379 0.6627 0.0787  2 Cu 2.49-2.51, 2 Al 2.67-2.72, 1 Ta 2.77
Ta 0.0840 0.1627 0.2248  2 Cu 2.49-2.51, 2 Al 2.67-2.72, 1 Ta 2.77
Ta 0.0621 0.4213 0.8373  2 Cu 2.49-2.51, 2 Al 2.67-2.72, 1 Ta 2.77
Ta 0.9213 0.0840 0.8592  2 Cu 2.49-2.51, 2 Al 2.67-2.72, 1 Ta 2.77
Ta 0.5787 0.9379 0.6627  2 Cu 2.49-2.51, 2 Al 2.67-2.72, 1 Ta 2.77
Ta 0.1408 0.4160 0.0787  2 Cu 2.49-2.51, 2 Al 2.67-2.72, 1 Ta 2.77
Ta 0.5840 0.7248 0.6627  2 Cu 2.49-2.51, 2 Al 2.67-2.72, 1 Ta 2.77
Ta 0.7752 0.4379 0.3592  2 Cu 2.49-2.51, 2 Al 2.67-2.72, 1 Ta 2.77
Ta 0.0621 0.6408 0.7248  2 Cu 2.49-2.51, 2 Al 2.67-2.72, 1 Ta 2.77
Ta 0.8373 0.9213 0.0621  2 Cu 2.49-2.51, 2 Al 2.67-2.72, 1 Ta 2.77
Ta 0.9379 0.5787 0.1627  2 Cu 2.49-2.51, 2 Al 2.67-2.72, 1 Ta 2.77
Ta 0.8592 0.5840 0.9213  2 Cu 2.49-2.51, 2 Al 2.67-2.72, 1 Ta 2.77
Ta 0.0787 0.1627 0.4379  2 Cu 2.49-2.51, 2 Al 2.67-2.72, 1 Ta 2.77
Ta 0.0787 0.9160 0.1408  2 Cu 2.49-2.51, 2 Al 2.67-2.72, 1 Ta 2.77
Ta 0.3592 0.9379 0.7752  2 Cu 2.49-2.51, 2 Al 2.67-2.72, 1 Ta 2.77
Ta 0.1627 0.0840 0.7248  2 Cu 2.49-2.51, 2 Al 2.67-2.72, 1 Ta 2.77
Ta 0.3373 0.7752 0.4160  2 Cu 2.49-2.51, 2 Al 2.67-2.72, 1 Ta 2.77
Ta 0.5621 0.2248 0.1408  2 Cu 2.49-2.51, 2 Al 2.67-2.72, 1 Ta 2.77
Ta 0.7752 0.3373 0.9160  2 Cu 2.49-2.51, 2 Al 2.67-2.72, 1 Ta 2.77
Ta 0.5840 0.8592 0.4213  2 Cu 2.49-2.51, 2 Al 2.67-2.72, 1 Ta 2.77
Ta 0.7248 0.5840 0.1627  2 Cu 2.49-2.51, 2 Al 2.67-2.72, 1 Ta 2.77
Ta 0.2752 0.8592 0.9379  2 Cu 2.49-2.51, 2 Al 2.67-2.72, 1 Ta 2.77
Ta 0.0840 0.9213 0.3592  2 Cu 2.49-2.51, 2 Al 2.67-2.72, 1 Ta 2.77
Ta 0.3592 0.4213 0.0840  2 Cu 2.49-2.51, 2 Al 2.67-2.72, 1 Ta 2.77
Ta 0.4160 0.2752 0.3373  2 Cu 2.49-2.51, 2 Al 2.67-2.72, 1 Ta 2.77
Ta 0.6627 0.4379 0.5787  2 Cu 2.49-2.51, 2 Al 2.67-2.72, 1 Ta 2.77
Ta 0.5621 0.3373 0.9213  2 Cu 2.49-2.51, 2 Al 2.67-2.72, 1 Ta 2.77
Ta 0.4213 0.3592 0.5840  2 Cu 2.49-2.51, 2 Al 2.67-2.72, 1 Ta 2.77
Ta 0.2248 0.6627 0.0840  2 Cu 2.49-2.51, 2 Al 2.67-2.72, 1 Ta 2.77
Ta 0.6408 0.0621 0.2248  2 Cu 2.49-2.51, 2 Al 2.67-2.72, 1 Ta 2.77
Al 0.7500 0.8750 0.6250  8 Ta 2.67-2.72
Al 0.2500 0.6250 0.8750  8 Ta 2.67-2.72
Al 0.1250 0.8750 0.7500  8 Ta 2.67-2.72
Al 0.6250 0.2500 0.3750  8 Ta 2.67-2.72
Al 0.2500 0.1250 0.3750  8 Ta 2.67-2.72
Al 0.8750 0.1250 0.2500  8 Ta 2.67-2.72
Al 0.7500 0.3750 0.1250  8 Ta 2.67-2.72
Al 0.6250 0.3750 0.7500  8 Ta 2.67-2.72
Al 0.8750 0.7500 0.1250  8 Ta 2.67-2.72
Al 0.3750 0.6250 0.2500  8 Ta 2.67-2.72
Al 0.1250 0.2500 0.8750  8 Ta 2.67-2.72
Al 0.3750 0.7500 0.6250  8 Ta 2.67-2.72


Entry 8:
## TaAl2Cu (PBE)

Data for crystalline TaAl2Cu at its relaxed geometry.

Values from the calculation:
E_tot (eV per atom): -5.951
D(E_F) (states/eV per cell): 1.0
E_form (eV/atom): -0.092

Cell lengths 3.0524, 3.0524, 6.5220 Å; angles 90.00, 90.00, 89.99 degrees
Last column: nearest neighbours and their distance in Å.
Positions (direct):
Cu 0.0000 0.0000 0.4654  4 Al 2.48
Ta 0.5000 0.5000 0.7431  5 Al 2.79-3.03, 4 Cu 2.82, 4 Ta 3.05
Al 0.5000 0.5000 0.2778  4 Cu 2.48, 4 Al 2.76
Al 0.0000 0.0000 0.0138  8 Al 2.76-3.05, 4 Ta 2.79, 1 Cu 2.95


Entry 9:
## TaAl2Cu (PBE)

Data for crystalline TaAl2Cu at its relaxed geometry.

Values from the calculation:
E_tot (eV per atom): -5.675
D(E_F) (states/eV per cell): 4.2
E_form (eV/atom): 0.184

Cell lengths 4.4428, 4.4428, 4.4428 Å; angles 60.00, 60.00, 60.00 degrees
Last column: nearest neighbours and their distance in Å.
Positions (direct):
Al 0.2500 0.2500 0.2500  4 Cu 2.72, 4 Al 2.72
Al 0.0000 0.0000 0.0000  4 Ta 2.72, 4 Al 2.72
Cu 0.5000 0.5000 0.5000  4 Ta 2.72, 4 Al 2.72
Ta 0.7500 0.7500 0.7500  4 Cu 2.72, 4 Al 2.72


Entry 10:
## TaAlCu2 (PBE)

Data for crystalline TaAlCu2 at its relaxed geometry.

Values from the calculation:
E_tot (eV per atom): -5.894
D(E_F) (states/eV per cell): 2.0
E_form (eV/atom): 0.053

Cell lengths 8.8064, 8.8064, 8.8064 Å; angles 18.42, 18.42, 18.42 degrees
Last column: nearest neighbours and their distance in Å.
Positions (direct):
Al 0.7437 0.7437 0.7437  3 Cu 2.59, 6 Al 2.82, 3 Ta 2.88
Cu 0.9992 0.9992 0.9992  9 Cu 2.59-2.82, 3 Al 2.59
Cu 0.2551 0.2551 0.2551  9 Cu 2.59-2.82, 3 Ta 2.77
Ta 0.5021 0.5021 0.5021  3 Cu 2.77, 6 Ta 2.82, 3 Al 2.88


Entry 11:
## TaAlCu2 (PBE)

Data for crystalline TaAlCu2 at its relaxed geometry.

Values from the calculation:
E_tot (eV per atom): -5.540
D(E_F) (states/eV per cell): 4.3
E_form (eV/atom): 0.407

Cell lengths 6.7984, 6.7984, 5.5140 Å; angles 51.94, 51.94, 90.00 degrees
Last column: nearest neighbours and their distance in Å.
Positions (direct):
Cu 0.1444 0.6250 0.2500  2 Al 2.41, 2 Ta 2.59
Cu 0.6056 0.1250 0.2500  2 Al 2.41, 2 Ta 2.59
Cu 0.8750 0.8556 0.7500  2 Al 2.41, 2 Ta 2.59
Cu 0.3750 0.3944 0.7500  2 Al 2.41, 2 Ta 2.59
Ta 0.0000 0.0000 0.0000  4 Cu 2.59, 2 Al 2.70
Ta 0.7500 0.2500 0.5000  4 Cu 2.59, 2 Al 2.70
Al 0.2500 0.7500 0.5000  4 Cu 2.41
Al 0.5000 0.5000 0.0000  4 Cu 2.41


Entry 12:
## TaAl2Cu (PBE)

Data for crystalline TaAl2Cu at its relaxed geometry.

Values from the calculation:
E_tot (eV per atom): -5.925
D(E_F) (states/eV per cell): 1.8
E_form (eV/atom): -0.066

Cell lengths 2.8795, 3.7599, 5.6753 Å; angles 90.00, 90.00, 90.00 degrees
Last column: nearest neighbours and their distance in Å.
Positions (direct):
Cu 0.0000 0.0000 0.4783  5 Al 2.66-2.69, 4 Ta 2.84, 2 Cu 2.88
Ta 0.5000 0.5000 0.7542  6 Al 2.76-2.89, 4 Cu 2.84, 2 Ta 2.88
Al 0.5000 0.5000 0.2632  4 Cu 2.66, 6 Al 2.79-2.88, 2 Ta 2.79-2.89
Al 0.0000 0.0000 0.0043  2 Cu 2.69-2.99, 4 Ta 2.76, 6 Al 2.79-2.88


The lowest E_tot belongs to which entry?
Ta12Al3Cu5


The highest E_form belongs to which entry?
Ta3AlCu